Entry 1:
The following is a DFT calculation (PBE-GGA) of an optimized crystal structure of Pm2InIr.

Summary:
Final energy (eV per cell): -91.37
Formation energy from the elements (meV/atom): -436
Density of states at the Fermi level (states/eV per atom): 0.892

a b c (Å): 7.3641 7.3641 7.3641
angles (deg): 90.00 90.00 90.00
Space group Fm-3m (No. 225)
Asymmetric unit:
Pm 0.2500 0.2500 0.2500 (multiplicity 8)
In 0.0000 0.0000 0.0000 (multiplicity 4)
Ir 0.0000 0.0000 0.5000 (multiplicity 4)


Entry 2:
The following is a DFT calculation (PBE-GGA) of an optimized crystal structure of SrLa2Cu.

Summary:
Final energy (eV per cell): -30.57
Formation energy from the elements (meV/atom): 87
Density of states at the Fermi level (states/eV per atom): 1.309

a b c (Å): 12.2615 3.7414 6.8738
angles (deg): 90.00 120.39 90.00
Space group Cm (No. 8)
Asymmetric unit:
Sr 0.0000 0.0000 0.0000 (multiplicity 2)
La 0.1173 0.5000 0.6015 (multiplicity 2)
La 0.3332 0.5000 0.3633 (multiplicity 2)
Cu 0.2835 0.0000 0.9931 (multiplicity 2)


Entry 3:
The following is a DFT calculation (PBE-GGA) of an optimized crystal structure of VIrS2N.

Summary:
Final energy (eV per cell): -31.46
Density of states at the Fermi level (states/eV per atom): 0.748
Raw formation energy (eV per atom): 0.619

a b c (Å): 4.6545 4.6545 3.5136
angles (deg): 90.00 90.00 90.00
Space group P4/mmm (No. 123)
Asymmetric unit:
V 0.0000 0.0000 0.0000 (multiplicity 1)
Ir 0.5000 0.5000 0.5000 (multiplicity 1)
S 0.0000 0.5000 0.0000 (multiplicity 2)
N 0.0000 0.0000 0.5000 (multiplicity 1)


Entry 4:
The following is a DFT calculation (PBE-GGA) of an optimized crystal structure of Tl2MoAu.

Summary:
Final energy (eV per cell): -32.65
Formation energy from the elements (meV/atom): 629
Density of states at the Fermi level (states/eV per atom): 0.672

a b c (Å): 4.1885 4.1885 9.6515
angles (deg): 90.00 90.00 90.00
Space group I-4m2 (No. 119)
Asymmetric unit:
Tl 0.0000 0.0000 0.0000 (multiplicity 2)
Tl 0.0000 0.5000 0.2500 (multiplicity 2)
Mo 0.0000 0.0000 0.5000 (multiplicity 2)
Au 0.0000 0.5000 0.7500 (multiplicity 2)


Entry 5:
The following is a DFT calculation (PBE-GGA) of an optimized crystal structure of BaHgPt.

Summary:
Final energy (eV per cell): -40.35
Formation energy from the elements (meV/atom): -607
Density of states at the Fermi level (states/eV per atom): 0.316

a b c (Å): 5.4763 9.1950 7.2331
angles (deg): 90.00 90.00 90.00
Space group Imma (No. 74)
Asymmetric unit:
Ba 0.0000 0.0000 0.0000 (multiplicity 4)
Hg 0.0000 0.2500 0.4005 (multiplicity 4)
Pt 0.2500 0.2500 0.7500 (multiplicity 4)


Entry 6:
The following is a DFT calculation (PBE-GGA) of an optimized crystal structure of Al2CdGaP.

Summary:
Final energy (eV per cell): -13.90
Formation energy from the elements (meV/atom): 588
Density of states at the Fermi level (states/eV per atom): 0.353

a b c (Å): 4.9498 4.9498 4.7873
angles (deg): 90.00 90.00 90.00
Space group P4/mmm (No. 123)
Asymmetric unit:
Al 0.0000 0.5000 0.0000 (multiplicity 2)
Cd 0.0000 0.0000 0.5000 (multiplicity 1)
Ga 0.5000 0.5000 0.0000 (multiplicity 1)
P 0.5000 0.5000 0.5000 (multiplicity 1)


no.,density (g/cm³)
1,9.9
2,5.2
3,7.0
4,13.8
5,9.7
6,3.8